Computed, not measured: a relaxed MnAl2BiS6 crystal at the PBE level of DFT.

Cell and atoms, written as POSCAR:
```
MnAl2BiS6
1.0
-6.302 -0.150 -1.424
-0.856 -8.269 -0.607
-2.938 -0.458 7.787
S Bi Al Mn
12 2 4 2
Cartesian
-4.491 -7.306 1.895 S
-1.477 -5.155 0.641 S
-8.617 -3.722 5.115 S
-7.726 -6.946 6.225 S
-2.323 -2.520 3.160 S
-5.951 -0.386 0.560 S
-5.603 -1.571 3.861 S
-2.369 -1.930 -0.469 S
-5.115 -3.938 1.005 S
-4.143 -8.491 5.196 S
-7.772 -6.357 2.597 S
-4.979 -4.939 4.752 S
-2.641 -7.518 -0.116 Bi
-7.454 -1.359 5.872 Bi
-6.378 -2.246 1.836 Al
-2.885 -3.454 1.170 Al
-7.209 -5.423 4.587 Al
-3.717 -6.631 3.920 Al
-6.167 -6.186 0.685 Mn
-3.928 -2.691 5.071 Mn
```

Properties
The density is 3.85 g/cm³. The calculation puts the magnetic moment at 7.997 μB/cell. The value obtained for the final energy is -0.191 hartree per atom. The symmetry is C2/c (15). The value obtained for the uncorrected formation energy is -679.9 meV per atom.